Density functional theory data (PBE) for crystalline Li2ScCd2 at its relaxed geometry.

POSCAR file:
```
Li2ScCd2
1.0
-1.919 1.919 7.020
1.919 -1.919 7.020
1.919 1.919 -7.020
Li Sc Cd
2 1 2
Cartesian
1.919 0.000 3.510 Li
0.000 1.919 3.510 Li
0.000 0.000 0.000 Sc
0.000 0.000 5.557 Cd
0.000 0.000 8.483 Cd
```

Output
Total magnetic moment, μB/f.u.: 0.00
Electronic total energy, eV per atom: -2.51
Formation energy, kJ per mole of atoms: -11.2

Density functional theory data (PBE) for crystalline V2Cr2Ga at its relaxed geometry.

POSCAR file:
```
V2Cr2Ga
1.0
1.635 -6.876 0.000
1.635 6.876 0.000
0.000 0.000 2.968
V Cr Ga
2 2 1
Cartesian
1.635 5.290 0.000 V
1.635 -5.290 0.000 V
1.635 2.622 1.484 Cr
1.635 -2.622 1.484 Cr
1.635 0.000 1.484 Ga
```

Output
Total magnetic moment, μB/f.u.: 0.00
Electronic total energy, eV per atom: -7.99
Formation energy, kJ per mole of atoms: 10.4

Density functional theory data (PBE) for crystalline Pm8GaAu2 at its relaxed geometry.

POSCAR file:
```
Pm8GaAu2
1.0
4.409 -7.161 0.000
4.409 7.161 0.000
-2.015 0.000 5.259
Pm Ga Au
8 1 2
Cartesian
0.000 0.000 0.000 Pm
0.354 1.670 3.215 Pm
3.046 3.226 0.971 Pm
0.354 -1.670 3.215 Pm
3.718 1.660 3.989 Pm
3.046 -3.226 0.971 Pm
3.718 -1.660 3.989 Pm
6.102 0.000 1.944 Pm
3.069 0.000 0.936 Ga
2.035 4.324 3.601 Au
2.035 -4.324 3.601 Au
```

Output
Total magnetic moment, μB/f.u.: 0.00
Electronic total energy, eV per atom: -4.60
Formation energy, kJ per mole of atoms: -26.0

Density functional theory data (PBE) for crystalline Tl2SbCl8 at its relaxed geometry.

POSCAR file:
```
Tl2SbCl8
1.0
6.923 -2.745 0.000
6.923 2.745 0.000
-0.466 0.000 8.587
Tl Sb Cl
2 1 8
Cartesian
3.290 0.000 1.837 Tl
10.090 0.000 6.751 Tl
-0.233 0.000 4.294 Sb
0.545 0.000 1.704 Cl
2.394 0.000 4.445 Cl
3.146 0.000 7.615 Cl
5.756 0.000 2.983 Cl
7.624 0.000 5.604 Cl
10.234 0.000 0.972 Cl
10.986 0.000 4.142 Cl
12.835 0.000 6.883 Cl
```

Output
Total magnetic moment, μB/f.u.: 0.00
Electronic total energy, eV per atom: -2.72

Density functional theory data (PBE) for crystalline NdSmTl at its relaxed geometry.

POSCAR file:
```
NdSmTl
1.0
-1.866 1.866 6.814
1.866 -1.866 6.814
1.866 1.866 -6.814
Nd Sm Tl
1 1 1
Cartesian
0.000 0.000 0.000 Nd
0.000 0.000 4.236 Sm
0.000 0.000 8.975 Tl
```

Output
Total magnetic moment, μB/f.u.: 0.00
Electronic total energy, eV per atom: -4.17
Formation energy, kJ per mole of atoms: -21.0

Density functional theory data (PBE) for crystalline ThNiI at its relaxed geometry.

POSCAR file:
```
ThNiI
1.0
3.561 -2.109 0.000
3.561 2.109 0.000
-1.633 0.000 12.224
Th Ni I
2 2 2
Cartesian
0.266 0.000 1.766 Th
5.222 0.000 10.459 Th
2.367 0.000 0.020 Ni
3.121 0.000 12.204 Ni
0.500 0.000 8.132 I
4.989 0.000 4.092 I
```

Output
Total magnetic moment, μB/f.u.: 0.00
Electronic total energy, eV per atom: -5.72

Density functional theory data (PBE) for crystalline BeFe2Se at its relaxed geometry.

POSCAR file:
```
BeFe2Se
1.0
4.049 -1.487 0.000
4.049 1.487 0.000
-1.105 0.000 3.815
Be Fe Se
1 2 1
Cartesian
0.000 0.000 0.000 Be
3.529 0.000 1.810 Fe
5.806 0.000 0.441 Fe
1.250 0.000 2.472 Se
```

Output
Total magnetic moment, μB/f.u.: 2.87
Electronic total energy, eV per atom: -5.87

Density functional theory data (PBE) for crystalline ReSi at its relaxed geometry.

POSCAR file:
```
ReSi
1.0
0.000 2.479 2.479
2.479 0.000 2.479
2.479 2.479 0.000
Re Si
1 1
Cartesian
0.000 0.000 0.000 Re
2.479 2.479 2.479 Si
```

Output
Total magnetic moment, μB/f.u.: 0.00
Electronic total energy, eV per atom: -8.29

Density functional theory data (PBE) for crystalline BaAlOs2 at its relaxed geometry.

POSCAR file:
```
BaAlOs2
1.0
5.509 -1.509 0.000
5.509 1.509 0.000
-2.335 0.000 5.595
Ba Al Os
1 1 2
Cartesian
0.000 0.000 0.000 Ba
0.501 0.000 3.444 Al
4.152 0.000 2.657 Os
7.649 0.000 2.308 Os
```

Output
Total magnetic moment, μB/f.u.: 0.00
Electronic total energy, eV per atom: -6.48
Formation energy, kJ per mole of atoms: 52.8

Density functional theory data (PBE) for crystalline Ni2H2W at its relaxed geometry.

POSCAR file:
```
Ni2H2W
1.0
-1.342 1.342 5.995
1.342 -1.342 5.995
1.342 1.342 -5.995
Ni H W
2 2 1
Cartesian
0.000 0.000 1.917 Ni
0.000 0.000 10.073 Ni
1.342 0.000 2.997 H
0.000 1.342 2.997 H
0.000 0.000 5.995 W
```

Output
Total magnetic moment, μB/f.u.: 0.00
Electronic total energy, eV per atom: -6.21

Density functional theory data (PBE) for crystalline La3MnN at its relaxed geometry.

POSCAR file:
```
La3MnN
1.0
5.096 0.000 0.000
0.000 5.096 0.000
0.000 0.000 5.096
La Mn N
3 1 1
Cartesian
0.000 0.000 2.548 La
0.000 2.548 0.000 La
2.548 0.000 0.000 La
2.548 2.548 2.548 Mn
0.000 0.000 0.000 N
```

Output
Total magnetic moment, μB/f.u.: 3.64
Electronic total energy, eV per atom: -6.84

Density functional theory data (PBE) for crystalline AgSb at its relaxed geometry.

POSCAR file:
```
AgSb
1.0
2.991 -3.728 0.000
2.991 3.728 0.000
-1.477 0.000 4.192
Ag Sb
2 2
Cartesian
2.991 2.283 0.000 Ag
2.991 -2.283 0.000 Ag
0.728 0.000 2.599 Sb
3.777 0.000 1.594 Sb
```

Output
Total magnetic moment, μB/f.u.: 0.00
Electronic total energy, eV per atom: -3.38

> The highest total magnetic moment belongs to which entry?

La3MnN